DFT (PBE) results for crystalline Mn6CrGa3 at its relaxed geometry.

The structure in POSCAR format:
```
Mn6CrGa3
1.0
4.2476 0.0000 0.0000
0.0000 6.5699 -2.3485
0.0000 -0.0672 9.0303
Mn Cr Ga
12 2 6
Direct
0.2500 0.4597 0.0797 Mn
0.7500 0.5403 0.9203 Mn
0.2500 0.1566 0.1904 Mn
0.7500 0.8434 0.8096 Mn
0.2500 0.6705 0.6841 Mn
0.7500 0.3295 0.3160 Mn
0.2500 0.2457 0.4827 Mn
0.7500 0.7543 0.5173 Mn
0.2500 0.8662 0.2951 Mn
0.7500 0.1338 0.7049 Mn
0.2500 0.0571 0.8775 Mn
0.7500 0.9429 0.1225 Mn
0.2500 0.9485 0.5952 Cr
0.7500 0.0515 0.4048 Cr
0.2500 0.5477 0.3820 Ga
0.7500 0.4523 0.6180 Ga
0.2500 0.3545 0.7814 Ga
0.7500 0.6455 0.2186 Ga
0.2500 0.7733 0.9856 Ga
0.7500 0.2267 0.0144 Ga
```

Calculated values
Mass density, g cm⁻³: 7.807
Density of states at the Fermi level, states/eV per cell: 18.2
Formation enthalpy at 0 K, eV/atom: -0.02
Total DFT energy (no corrections), eV per atom: -7.389

=====

DFT (PBE) results for crystalline CaGdInRh at its relaxed geometry.

The structure in POSCAR format:
```
CaGdInRh
1.0
-3.1135 2.8635 2.9015
-5.0277 0.1479 -1.0067
-3.3225 -2.2535 3.1930
Ca Gd Rh In
1 1 1 1
Direct
0.5000 0.5000 0.5000 Ca
0.0000 0.0000 0.0000 Gd
0.2500 0.2500 0.2500 Rh
0.7500 0.7500 0.7500 In
```

Calculated values
Mass density, g cm⁻³: 7.221
Density of states at the Fermi level, states/eV per cell: 3.3
Formation enthalpy at 0 K, eV/atom: -0.43
Total DFT energy (no corrections), eV per atom: -6.972

=====

DFT (PBE) results for crystalline TaAlRh2 at its relaxed geometry.

The structure in POSCAR format:
```
TaAlRh2
1.0
2.8774 0.0000 0.0000
0.0000 3.5629 0.0000
0.0000 0.0000 5.8638
Rh Al Ta
2 1 1
Direct
0.0000 0.0000 0.9908 Rh
0.0000 0.0000 0.5092 Rh
0.5000 0.5000 0.7500 Al
0.5000 0.5000 0.2500 Ta
```

Calculated values
Mass density, g cm⁻³: 11.429
Density of states at the Fermi level, states/eV per cell: 1.6
Formation enthalpy at 0 K, eV/atom: -0.73
Total DFT energy (no corrections), eV per atom: -8.300

=====

DFT (PBE) results for crystalline AcPu2CoN4 at its relaxed geometry.

The structure in POSCAR format:
```
AcPu2CoN4
1.0
-2.3952 2.4689 -0.6419
-2.1966 -3.4501 4.4642
4.9991 6.8699 7.7692
Ac Pu Co N
2 4 2 8
Direct
0.0993 0.1986 0.7500 Ac
0.9007 0.8014 0.2500 Ac
0.3679 0.7358 0.5554 Pu
0.6321 0.2642 0.0554 Pu
0.6321 0.2642 0.4446 Pu
0.3679 0.7358 0.9446 Pu
0.8347 0.6695 0.7500 Co
0.1653 0.3305 0.2500 Co
0.2582 0.5163 0.1085 N
0.7418 0.4837 0.6085 N
0.7418 0.4837 0.8915 N
0.2582 0.5163 0.3915 N
0.0000 0.0000 0.5000 N
0.0000 0.0000 0.0000 N
0.4290 0.8580 0.7500 N
0.5710 0.1420 0.2500 N
```

Calculated values
Mass density, g cm⁻³: 11.804
Density of states at the Fermi level, states/eV per cell: 22.6
E_form (uncorrected), meV per atom: -1034
Total DFT energy (no corrections), eV per atom: -10.182

=====

DFT (PBE) results for crystalline Li3Pa2Pt4 at its relaxed geometry.

The structure in POSCAR format:
```
Li3Pa2Pt4
1.0
-3.4454 -1.9290 1.7774
-1.1312 -4.6669 -1.9908
4.7331 -4.7207 4.0487
Li Pa Pt
3 2 4
Direct
0.3749 0.2506 0.4639 Li
0.0000 0.0000 0.0000 Li
0.6251 0.7494 0.5361 Li
0.2562 0.4879 0.7807 Pa
0.7438 0.5121 0.2193 Pa
0.5819 0.8363 0.8567 Pt
0.0815 0.8364 0.3549 Pt
0.9185 0.1636 0.6451 Pt
0.4181 0.1637 0.1433 Pt
```

Calculated values
Mass density, g cm⁻³: 13.483
Excess energy over the best structure of this formula in the dataset, meV per atom: 0.0
Density of states at the Fermi level, states/eV per cell: 7.9
Formation enthalpy at 0 K, eV/atom: -0.76
Total DFT energy (no corrections), eV per atom: -6.192

=====

DFT (PBE) results for crystalline PrMg2Pb3 at its relaxed geometry.

The structure in POSCAR format:
```
PrMg2Pb3
1.0
4.5066 0.0000 0.0000
0.0000 4.7037 -1.5904
0.0000 0.0234 7.8201
Pr Mg Pb
1 2 3
Direct
0.0000 0.0000 0.0000 Pr
0.0000 0.6730 0.3459 Mg
0.0000 0.3270 0.6541 Mg
0.5000 0.1717 0.3435 Pb
0.5000 0.5000 0.0000 Pb
0.5000 0.8283 0.6565 Pb
```

Calculated values
Mass density, g cm⁻³: 8.117
Excess energy over the best structure of this formula in the dataset, meV per atom: 0.0
Density of states at the Fermi level, states/eV per cell: 2.4
Formation enthalpy at 0 K, eV/atom: -0.27
Total DFT energy (no corrections), eV per atom: -3.457

=====

DFT (PBE) results for crystalline Sc2ZnTc at its relaxed geometry.

The structure in POSCAR format:
```
Sc2ZnTc
1.0
4.6174 0.0000 0.0000
2.3087 3.9987 0.0000
2.3087 1.3329 3.7701
Sc Tc Zn
2 1 1
Direct
0.0000 0.0000 0.0000 Sc
0.2500 0.2500 0.2500 Sc
0.5000 0.5000 0.5000 Tc
0.7500 0.7500 0.7500 Zn
```

Calculated values
Mass density, g cm⁻³: 6.043
Density of states at the Fermi level, states/eV per cell: 5.4
Formation enthalpy at 0 K, eV/atom: -0.02
Total DFT energy (no corrections), eV per atom: -6.100

=====

DFT (PBE) results for crystalline KMgGaF6 at its relaxed geometry.

The structure in POSCAR format:
```
KMgGaF6
1.0
7.1961 0.0000 0.0000
0.0000 7.3534 0.0000
-3.5981 -3.6767 5.1495
K Mg Ga F
2 2 2 12
Direct
0.9053 0.6553 0.8105 K
0.0947 0.3447 0.1895 K
0.5000 0.0000 0.5000 Mg
0.0000 0.0000 0.5000 Mg
0.5000 0.5000 0.0000 Ga
0.5000 0.0000 0.0000 Ga
0.4342 0.6842 0.8683 F
0.8260 0.0760 0.6520 F
0.8125 0.0712 0.2436 F
0.4311 0.6724 0.2436 F
0.4311 0.0712 0.2436 F
0.8125 0.6724 0.2436 F
0.5658 0.3158 0.1317 F
0.1740 0.9240 0.3480 F
0.1875 0.9288 0.7564 F
0.5689 0.3276 0.7564 F
0.5689 0.9288 0.7564 F
0.1875 0.3276 0.7564 F
```

Calculated values
Mass density, g cm⁻³: 3.012
Density of states at the Fermi level, states/eV per cell: 0.0
E_form (uncorrected), meV per atom: -3019
Total DFT energy (no corrections), eV per atom: -4.902